No. 1
## PdRhO2 (PBE)

Data for PdRhO2 after structural relaxation.

The structure belongs to space group C2/c (No. 15); the cell edges are 6.5243, 6.0723 and 5.1492 Å and the angles 90.00°, 110.82° and 90.00°. The inequivalent atoms are Pd at (0.0000, 0.1510, 0.2500), Rh at (0.0000, 0.4071, 0.7500) and O at (0.1709, 0.1489, 0.6751).

The calculation puts the density at 8.4 g cm⁻³. For the spin magnetization, the calculation gives 0.00 μB per cell. For the total energy, the calculation gives -5.556 eV/atom. As for the uncorrected formation energy: 59 meV per atom.

No. 2
## Ba2Ti2C (PBE)

Data for Ba2Ti2C after structural relaxation.

The structure belongs to space group P4/mbm (No. 127); the cell edges are 6.1380, 6.1380 and 6.2482 Å and the angles 90.00°, 90.00° and 90.00°. The inequivalent atoms are Ba at (0.1813, 0.3187, 0.0000), Ti at (0.1894, 0.6894, 0.5000) and C at (0.0000, 0.0000, 0.5000).

The calculation puts the density at 5.4 g cm⁻³. For the spin magnetization, the calculation gives 2.63 μB per cell. The relative energy among the computed polymorphs is 0.0 meV per atom. The value obtained for the energy of formation from the pure elements is 0.728 eV per atom. For the total energy, the calculation gives -5.044 eV/atom.

No. 3
## Pr2Dy3Y6Tm (PBE)

Data for Pr2Dy3Y6Tm after structural relaxation.

The structure belongs to space group C2/m (No. 12); the cell edges are 6.2038, 10.7380 and 11.8586 Å and the angles 90.00°, 99.99° and 90.00°. The inequivalent atoms are Pr at (0.0000, 0.1665, 0.0000), Dy at (0.0000, 0.0000, 0.5000), Dy at (0.0000, 0.3335, 0.5000), Y at (0.2478, 0.5000, 0.7471), Y at (0.2497, 0.1661, 0.7475) and Tm at (0.0000, 0.5000, 0.0000).

The calculation puts the density at 6.3 g cm⁻³. For the spin magnetization, the calculation gives 0.00 μB per cell. The value obtained for the energy of formation from the pure elements is 0.019 eV per atom. For the total energy, the calculation gives -5.533 eV/atom.

no.,volume (Å³ per atom)
1,11.92
2,23.54
3,32.42